# 1
Computed, not measured: a crystal of Y3MgC relaxed with PBEsol at the meta-GGA SCAN level of DFT.

```
Y3MgC
1.0
4.9294 0.0000 0.0000
0.0000 4.9294 0.0000
0.0000 0.0000 4.9294
Y Mg C
3 1 1
Cartesian
0.0000 0.0000 2.4647 Y
0.0000 2.4647 0.0000 Y
2.4647 0.0000 0.0000 Y
2.4647 2.4647 2.4647 Mg
0.0000 0.0000 0.0000 C
```

Calculated values
ΔE_f, meV per atom: -316.1

***

# 2
Computed, not measured: a crystal of MgZn2C relaxed with PBEsol at the meta-GGA SCAN level of DFT.

```
MgZn2C
1.0
0.0000 3.0192 3.0192
3.0192 0.0000 3.0192
3.0192 3.0192 0.0000
Mg Zn C
1 2 1
Cartesian
0.0000 0.0000 0.0000 Mg
1.5096 1.5096 1.5096 Zn
4.5288 4.5288 4.5288 Zn
3.0192 3.0192 3.0192 C
```

Calculated values
ΔE_f, meV per atom: 1180.8

***

# 3
Computed, not measured: a crystal of MgZnC2 relaxed with PBEsol at the meta-GGA SCAN level of DFT.

```
MgZnC2
1.0
0.0000 2.7444 2.7444
2.7444 0.0000 2.7444
2.7444 2.7444 0.0000
Mg Zn C
1 1 2
Cartesian
0.0000 0.0000 0.0000 Mg
2.7444 2.7444 2.7444 Zn
1.3722 1.3722 1.3722 C
4.1165 4.1165 4.1165 C
```

Calculated values
ΔE_f, meV per atom: 1542.1

***

# 4
Computed, not measured: a crystal of MnC7 relaxed with PBEsol at the meta-GGA SCAN level of DFT.

```
MnC7
1.0
0.0000 3.0185 3.0185
3.0185 0.0000 3.0185
3.0185 3.0185 0.0000
Mn C
1 7
Cartesian
0.0000 0.0000 0.0000 Mn
1.5093 1.5093 0.0000 C
1.5093 0.0000 1.5093 C
3.0185 1.5093 1.5093 C
0.0000 1.5093 1.5093 C
1.5093 3.0185 1.5093 C
1.5093 1.5093 3.0185 C
3.0185 3.0185 3.0185 C
```

Calculated values
ΔE_f, meV per atom: 3714.4

***

# 5
Computed, not measured: a crystal of MnC relaxed with PBEsol at the meta-GGA SCAN level of DFT.

```
MnC
1.0
-1.2891 1.2891 4.5987
1.2891 -1.2891 4.5987
1.2891 1.2891 -4.5987
Mn C
2 2
Cartesian
0.0000 0.0000 0.0000 Mn
0.0000 1.2891 2.2993 Mn
1.2891 0.0000 1.5441 C
0.0000 0.0000 3.8434 C
```

Calculated values
ΔE_f, meV per atom: 154.5

***

# 6
Computed, not measured: a crystal of MnC2 relaxed with PBEsol at the meta-GGA SCAN level of DFT.

```
MnC2
1.0
-1.2518 1.9270 5.4285
1.2518 -1.9270 5.4285
1.2518 1.9270 -5.4285
Mn C
2 4
Cartesian
0.0000 0.9635 0.5160 Mn
1.2518 0.9635 4.9125 Mn
1.2518 0.9635 -2.3496 C
1.2518 0.9635 -0.9099 C
0.0000 0.9635 6.3384 C
0.0000 0.9635 7.7782 C
```

Calculated values
ΔE_f, meV per atom: 787.5

***

# 7
Computed, not measured: a crystal of Mn3C relaxed with PBEsol at the meta-GGA SCAN level of DFT.

```
Mn3C
1.0
4.8833 0.0000 0.0000
0.0000 6.5983 0.0000
0.0000 0.0000 4.3907
Mn C
12 4
Cartesian
0.1512 1.6496 0.6979 Mn
0.9098 0.4308 2.8785 Mn
0.9098 2.8684 2.8785 Mn
1.5319 3.7299 0.6832 Mn
1.5319 6.1676 0.6832 Mn
2.2904 4.9488 2.8932 Mn
2.5929 1.6496 1.4975 Mn
3.3514 0.4308 3.7075 Mn
3.3514 2.8684 3.7075 Mn
3.9735 3.7299 1.5121 Mn
3.9735 6.1676 1.5121 Mn
4.7321 4.9488 3.6928 Mn
0.5963 4.9488 1.9089 C
1.8454 1.6496 4.1042 C
3.0379 4.9488 0.2864 C
4.2871 1.6496 2.4818 C
```

Calculated values
ΔE_f, meV per atom: 45.6

***

# 8
Computed, not measured: a crystal of MnC2 relaxed with PBEsol at the meta-GGA SCAN level of DFT.

```
MnC2
1.0
5.2687 0.0000 0.0000
-2.6344 4.5629 0.0000
0.0000 0.0000 2.6636
Mn C
3 6
Cartesian
0.0000 0.0000 0.0000 Mn
0.0000 3.0419 1.3318 Mn
2.6344 1.5210 1.3318 Mn
-0.9815 1.7000 0.0000 C
-1.9212 3.3276 1.3318 C
0.7132 1.2353 1.3318 C
1.9630 0.0000 0.0000 C
1.6529 2.8629 0.0000 C
3.8424 0.0000 1.3318 C
```

Calculated values
ΔE_f, meV per atom: 1505.1